1.
Computed, not measured: crystalline Tb2Se2O7 at its relaxed geometry at the PBEsol level of DFT.

abc: 5.200 10.551 10.551
angles: 90.00 90.00 90.00
Sites, in units of the cell vectors:
O 0.500 0.000 0.000
O 0.000 0.500 0.500
O 0.500 0.500 0.500
O 0.000 0.000 0.000
O 0.559 0.314 0.814
O 0.559 0.686 0.186
O 0.059 0.686 0.814
O 0.059 0.314 0.186
O 0.441 0.186 0.314
O 0.441 0.814 0.686
O 0.941 0.814 0.314
O 0.941 0.186 0.686
O 0.881 0.253 0.432
O 0.881 0.747 0.568
O 0.381 0.068 0.753
O 0.381 0.932 0.247
O 0.119 0.247 0.932
O 0.119 0.753 0.068
O 0.619 0.432 0.253
O 0.619 0.568 0.747
O 0.619 0.247 0.068
O 0.619 0.753 0.932
O 0.119 0.432 0.747
O 0.119 0.568 0.253
O 0.381 0.253 0.568
O 0.381 0.747 0.432
O 0.881 0.068 0.247
O 0.881 0.932 0.753
Se 0.286 0.379 0.879
Se 0.286 0.621 0.121
Se 0.786 0.621 0.879
Se 0.786 0.379 0.121
Se 0.714 0.121 0.379
Se 0.714 0.879 0.621
Se 0.214 0.879 0.379
Se 0.214 0.121 0.621
Tb 0.750 0.378 0.622
Tb 0.750 0.622 0.378
Tb 0.250 0.878 0.878
Tb 0.250 0.122 0.122
Tb 0.750 0.122 0.878
Tb 0.750 0.878 0.122
Tb 0.250 0.622 0.622
Tb 0.250 0.378 0.378

2.
Computed, not measured: crystalline TeSe3O at its relaxed geometry at the PBEsol level of DFT.

abc: 5.285 5.285 5.285
angles: 90.00 90.00 90.00
Each line ends with the local moment (μB).
Sites, in units of the cell vectors:
Te 0.000 0.000 0.000  -0.02
O 0.500 0.500 0.500  1.45
Se 0.000 0.500 0.000  0.24
Se 0.000 0.000 0.500  0.24
Se 0.500 0.000 0.000  0.24

3.
Computed, not measured: crystalline Te3SeO at its relaxed geometry at the PBEsol level of DFT.

abc: 4.797 4.797 4.797
angles: 90.00 90.00 90.00
Sites, in units of the cell vectors:
Te 0.000 0.500 0.000
Te 0.000 0.000 0.500
Te 0.500 0.000 0.000
O 0.000 0.000 0.000
Se 0.500 0.500 0.500

4.
Computed, not measured: crystalline Te3SeO at its relaxed geometry at the PBEsol level of DFT.

abc: 5.381 5.381 5.381
angles: 90.00 90.00 90.00
Each line ends with the local moment (μB).
Sites, in units of the cell vectors:
Te 0.000 0.500 0.000  0.12
Te 0.000 0.000 0.500  0.12
Te 0.500 0.000 0.000  0.12
O 0.500 0.500 0.500  1.31
Se 0.000 0.000 0.000  -0.01

5.
Computed, not measured: crystalline TeSeO4 at its relaxed geometry at the PBEsol level of DFT.

abc: 4.303 6.774 7.463
angles: 116.97 106.73 90.05
Sites, in units of the cell vectors:
Te 0.359 0.112 0.223
Te 0.637 0.889 0.777
O 0.709 0.050 0.099
O 0.344 0.421 0.217
O 0.834 0.247 0.492
O 0.627 0.204 0.783
O 0.345 0.794 0.215
O 0.842 0.755 0.508
O 0.630 0.579 0.785
O 0.110 0.952 0.901
Se 0.892 0.379 0.758
Se 0.634 0.621 0.242

6.
Computed, not measured: crystalline TiSe3O at its relaxed geometry at the PBEsol level of DFT.

abc: 4.385 4.385 4.385
angles: 90.00 90.00 90.00
Each line ends with the local moment (μB).
Sites, in units of the cell vectors:
O 0.000 0.000 0.000  -0.01
Se 0.000 0.500 0.000  -0.08
Se 0.000 0.000 0.500  -0.08
Se 0.500 0.000 0.000  -0.08
Ti 0.500 0.500 0.500  1.16

7.
Computed, not measured: crystalline TlSe2O2 at its relaxed geometry at the PBEsol level of DFT.

abc: 4.288 4.288 5.328
angles: 113.73 113.73 90.00
Sites, in units of the cell vectors:
Tl 0.000 0.000 0.000
O 0.250 0.750 0.500
O 0.750 0.250 0.500
Se 0.366 0.366 0.732
Se 0.634 0.634 0.268

8.
Computed, not measured: crystalline Tl2SeO4 at its relaxed geometry at the PBEsol level of DFT.

abc: 5.800 7.850 11.346
angles: 90.00 90.00 90.00
Sites, in units of the cell vectors:
Tl 0.750 0.319 0.592
Tl 0.250 0.681 0.408
Tl 0.750 0.819 0.908
Tl 0.250 0.181 0.092
Tl 0.750 0.538 0.228
Tl 0.250 0.462 0.772
Tl 0.750 0.038 0.272
Tl 0.250 0.962 0.728
Se 0.750 0.280 0.928
Se 0.250 0.720 0.072
Se 0.750 0.780 0.572
Se 0.250 0.220 0.428
O 0.750 0.474 0.868
O 0.250 0.526 0.132
O 0.750 0.974 0.632
O 0.250 0.026 0.368
O 0.750 0.287 0.076
O 0.250 0.713 0.924
O 0.750 0.787 0.424
O 0.250 0.213 0.576
O 0.012 0.824 0.114
O 0.512 0.176 0.886
O 0.488 0.324 0.386
O 0.988 0.676 0.614
O 0.012 0.324 0.386
O 0.512 0.676 0.614
O 0.488 0.824 0.114
O 0.988 0.176 0.886

9.
Computed, not measured: crystalline Tl2SeO4 at its relaxed geometry at the PBEsol level of DFT.

abc: 6.039 6.039 8.234
angles: 90.00 90.00 115.65
Sites, in units of the cell vectors:
Tl 0.693 0.307 0.250
Tl 0.000 0.000 0.500
Tl 0.307 0.693 0.750
Tl 0.000 0.000 0.000
Se 0.641 0.359 0.750
Se 0.359 0.641 0.250
O 0.750 0.668 0.750
O 0.734 0.266 0.585
O 0.734 0.266 0.915
O 0.332 0.250 0.750
O 0.266 0.734 0.415
O 0.668 0.750 0.250
O 0.266 0.734 0.085
O 0.250 0.332 0.250

10.
Computed, not measured: crystalline Tl2SeO4 at its relaxed geometry at the PBEsol level of DFT.

abc: 6.270 7.824 10.601
angles: 90.00 90.00 90.00
Sites, in units of the cell vectors:
O 0.578 0.753 0.950
O 0.422 0.253 0.550
O 0.922 0.247 0.450
O 0.078 0.747 0.050
O 0.452 0.056 0.052
O 0.548 0.556 0.448
O 0.048 0.944 0.552
O 0.952 0.444 0.948
O 0.720 0.050 0.847
O 0.280 0.550 0.653
O 0.780 0.950 0.347
O 0.220 0.450 0.153
O 0.801 0.533 0.180
O 0.199 0.033 0.320
O 0.699 0.467 0.680
O 0.301 0.967 0.820
Se 0.512 0.955 0.917
Se 0.488 0.455 0.583
Se 0.988 0.045 0.417
Se 0.012 0.545 0.083
Tl 0.473 0.755 0.213
Tl 0.527 0.255 0.287
Tl 0.027 0.245 0.713
Tl 0.973 0.745 0.787
Tl 0.473 0.920 0.581
Tl 0.527 0.420 0.919
Tl 0.027 0.080 0.081
Tl 0.973 0.580 0.419

11.
Computed, not measured: crystalline Tl3SeO at its relaxed geometry at the PBEsol level of DFT.

abc: 4.970 4.970 4.970
angles: 90.00 90.00 90.00
Sites, in units of the cell vectors:
Tl 0.000 0.500 0.000
Tl 0.000 0.000 0.500
Tl 0.500 0.000 0.000
O 0.000 0.000 0.000
Se 0.500 0.500 0.500

12.
Computed, not measured: crystalline Tl2Se3O12 at its relaxed geometry at the PBEsol level of DFT.

abc: 8.892 9.446 12.451
angles: 90.00 92.74 90.00
Sites, in units of the cell vectors:
Tl 0.248 0.971 0.111
Tl 0.752 0.029 0.889
Tl 0.252 0.471 0.389
Tl 0.748 0.529 0.611
Tl 0.743 0.963 0.385
Tl 0.257 0.037 0.615
Tl 0.757 0.463 0.115
Tl 0.243 0.537 0.885
Se 0.393 0.128 0.357
Se 0.607 0.872 0.643
Se 0.107 0.628 0.143
Se 0.893 0.372 0.857
Se 0.597 0.627 0.338
Se 0.403 0.373 0.662
Se 0.903 0.127 0.162
Se 0.097 0.873 0.838
Se 0.040 0.745 0.498
Se 0.960 0.255 0.502
Se 0.460 0.245 0.002
Se 0.540 0.755 0.998
O 0.361 0.289 0.305
O 0.639 0.711 0.695
O 0.139 0.789 0.195
O 0.861 0.211 0.805
O 0.470 0.885 0.071
O 0.530 0.115 0.929
O 0.030 0.385 0.429
O 0.970 0.615 0.571
O 0.927 0.790 0.393
O 0.073 0.210 0.607
O 0.573 0.290 0.107
O 0.427 0.710 0.893
O 0.422 0.585 0.296
O 0.578 0.415 0.704
O 0.078 0.085 0.204
O 0.922 0.915 0.796
O 0.400 0.010 0.258
O 0.600 0.990 0.742
O 0.100 0.510 0.242
O 0.900 0.490 0.758
O 0.572 0.618 0.081
O 0.428 0.382 0.919
O 0.928 0.118 0.419
O 0.072 0.882 0.581
O 0.562 0.120 0.423
O 0.438 0.880 0.577
O 0.938 0.620 0.077
O 0.062 0.380 0.923
O 0.724 0.518 0.290
O 0.276 0.482 0.710
O 0.776 0.018 0.210
O 0.224 0.982 0.790
O 0.205 0.687 0.456
O 0.795 0.313 0.544
O 0.295 0.187 0.044
O 0.705 0.813 0.956
O 0.608 0.623 0.473
O 0.392 0.377 0.527
O 0.892 0.123 0.027
O 0.108 0.877 0.973
O 0.619 0.794 0.296
O 0.381 0.206 0.704
O 0.881 0.294 0.204
O 0.119 0.706 0.796
O 0.245 0.591 0.061
O 0.755 0.409 0.939
O 0.255 0.091 0.439
O 0.745 0.909 0.561

ΔE_f (raw) values, unit eV/atom, following the record order: -2.1945; 1.1656; 0.3044; 1.0923; -0.8944; 0.0647; 0.2379; -0.7834; -0.7714; -0.7843; -0.2253; -0.5936.
Total moment values, unit μB per cell, following the record order: 0.0; 2.9; 0.0; 2.2; 0.0; 1.1; 0.0; 0.0; 0.0; 0.0; 0.0; 0.0.
Ρ values, unit g/cm³, following the record order: 6.74; 4.28; 7.19; 5.09; 4.90; 5.92; 8.13; 7.09; 6.77; 7.05; 9.58; 5.33.